(1)
Density functional theory data (GGA-PBE) for ZnPd12Au7 after structural relaxation.

a = 6.9737 Å, b = 6.9737 Å, c = 6.9737 Å
α = 89.81°, β = 89.81°, γ = 89.81°
Fractional coordinates of all 20 atoms:
Zn: 0.0000 0.0000 0.0000
Pd: 0.1277 0.2475 0.7466
Pd: 0.1430 0.6255 0.4909
Pd: 0.2475 0.7466 0.1277
Pd: 0.2534 0.8723 0.7525
Pd: 0.3745 0.5091 0.8570
Pd: 0.4909 0.1430 0.6255
Pd: 0.5091 0.8570 0.3745
Pd: 0.6255 0.4909 0.1430
Pd: 0.7466 0.1277 0.2475
Pd: 0.7525 0.2534 0.8723
Pd: 0.8570 0.3745 0.5091
Pd: 0.8723 0.7525 0.2534
Au: 0.0569 0.3861 0.1559
Au: 0.1559 0.0569 0.3861
Au: 0.3861 0.1559 0.0569
Au: 0.5000 0.5000 0.5000
Au: 0.6139 0.8441 0.9431
Au: 0.8441 0.9431 0.6139
Au: 0.9431 0.6139 0.8441

Summary:
Volume   339.1 Å³/cell
SG   R-3, No. 148
Calculated total energy   -4.314 eV per atom

=====

(2)
Density functional theory data (GGA-PBE) for LaPr6Sm12 after structural relaxation.

a = 8.9366 Å, b = 8.9366 Å, c = 8.9366 Å
α = 99.14°, β = 99.14°, γ = 99.14°
Fractional coordinates of all 19 atoms:
La: 0.0000 0.0000 0.0000
Pr: 0.0971 0.0971 0.6574
Pr: 0.0971 0.6574 0.0971
Pr: 0.3426 0.9029 0.9029
Pr: 0.6574 0.0971 0.0971
Pr: 0.9029 0.3426 0.9029
Pr: 0.9029 0.9029 0.3426
Sm: 0.0821 0.3558 0.3558
Sm: 0.2421 0.5000 0.7579
Sm: 0.2421 0.7579 0.5000
Sm: 0.3558 0.0821 0.3558
Sm: 0.3558 0.3558 0.0821
Sm: 0.5000 0.2421 0.7579
Sm: 0.5000 0.7579 0.2421
Sm: 0.6442 0.6442 0.9179
Sm: 0.6442 0.9179 0.6442
Sm: 0.7579 0.2421 0.5000
Sm: 0.7579 0.5000 0.2421
Sm: 0.9179 0.6442 0.6442

Summary:
Volume   683.2 Å³/cell
Offset from the most stable computed form   0.057 eV/atom
SG   R-3m, No. 166